# Er4Mg5Tl2, relaxed, DFT PBE-GGA
data_Er4Mg5Tl2
_chemical_formula_sum 'Er4 Mg5 Tl2'
_cell_length_a 3.488
_cell_length_b 8.034
_cell_length_c 10.481
_cell_angle_alpha 94.11
_cell_angle_beta 90.00
_cell_angle_gamma 90.00
_space_group_name_H-M_alt 'P 1'
_space_group_IT_number 1
loop_
_space_group_symop_operation_xyz
'x,y,z'
loop_
_atom_site_label
_atom_site_fract_x
_atom_site_fract_y
_atom_site_fract_z
Mg1 0.000 0.437 0.707
Mg2 0.000 0.802 0.837
Mg3 0.000 0.500 0.000
Mg4 0.000 0.563 0.293
Mg5 0.000 0.198 0.163
Er1 0.500 0.841 0.110
Er2 0.500 0.721 0.555
Er3 0.500 0.159 0.890
Er4 0.500 0.279 0.445
Tl1 0.000 0.938 0.358
Tl2 0.000 0.062 0.642
# spin magnetization	0.0	μB per formula unit
# DFT formation energy	-0.085	eV per atom
# E	-2.899	eV/atom
# N(E_F)	9.45	states/eV/cell

# ErMg4Tl7, relaxed, DFT PBE-GGA
data_ErMg4Tl7
_chemical_formula_sum 'Er1 Mg4 Tl7'
_cell_length_a 5.927
_cell_length_b 8.596
_cell_length_c 7.817
_cell_angle_alpha 67.79
_cell_angle_beta 67.72
_cell_angle_gamma 69.83
_space_group_name_H-M_alt 'P 1'
_space_group_IT_number 1
loop_
_space_group_symop_operation_xyz
'x,y,z'
loop_
_atom_site_label
_atom_site_fract_x
_atom_site_fract_y
_atom_site_fract_z
Mg1 0.694 0.664 0.948
Mg2 0.306 0.336 0.052
Mg3 0.528 0.302 0.642
Mg4 0.472 0.698 0.358
Tl1 0.797 0.887 0.520
Tl2 0.271 0.694 0.765
Tl3 0.070 0.597 0.264
Tl4 0.500 0.000 0.000
Tl5 0.203 0.113 0.480
Tl6 0.729 0.306 0.235
Tl7 0.930 0.403 0.736
Er1 0.000 0.000 0.000
# spin magnetization	0.0	μB per formula unit
# DFT formation energy	0.025	eV per atom
# E	-2.267	eV/atom
# N(E_F)	4.56	states/eV/cell

# Er3MgTl2, relaxed, DFT PBE-GGA
data_Er3MgTl2
_chemical_formula_sum 'Er3 Mg1 Tl2'
_cell_length_a 4.043
_cell_length_b 5.069
_cell_length_c 8.140
_cell_angle_alpha 108.14
_cell_angle_beta 90.00
_cell_angle_gamma 90.00
_space_group_name_H-M_alt 'P 1'
_space_group_IT_number 1
loop_
_space_group_symop_operation_xyz
'x,y,z'
loop_
_atom_site_label
_atom_site_fract_x
_atom_site_fract_y
_atom_site_fract_z
Tl1 0.000 0.657 0.313
Tl2 0.000 0.343 0.687
Mg1 0.000 0.000 0.000
Er1 0.500 0.170 0.339
Er2 0.500 0.830 0.661
Er3 0.500 0.500 0.000
# spin magnetization	0.0	μB per formula unit
# DFT formation energy	-0.256	eV per atom
# E	-3.592	eV/atom
# N(E_F)	4.05	states/eV/cell

# ErMg3Tl3, relaxed, DFT PBE-GGA
data_ErMg3Tl3
_chemical_formula_sum 'Er2 Mg6 Tl6'
_cell_length_a 8.605
_cell_length_b 8.605
_cell_length_c 7.940
_cell_angle_alpha 57.19
_cell_angle_beta 57.19
_cell_angle_gamma 60.00
_space_group_name_H-M_alt 'P 1'
_space_group_IT_number 1
loop_
_space_group_symop_operation_xyz
'x,y,z'
loop_
_atom_site_label
_atom_site_fract_x
_atom_site_fract_y
_atom_site_fract_z
Mg1 0.888 0.548 0.339
Mg2 0.776 0.112 0.661
Mg3 0.112 0.452 0.661
Mg4 0.548 0.224 0.339
Mg5 0.452 0.776 0.661
Mg6 0.224 0.888 0.339
Tl1 0.379 0.062 0.817
Tl2 0.743 0.379 0.817
Tl3 0.257 0.621 0.183
Tl4 0.938 0.257 0.183
Tl5 0.062 0.743 0.817
Tl6 0.621 0.938 0.183
Er1 0.333 0.333 0.000
Er2 0.667 0.667 0.000
# spin magnetization	0.0	μB per formula unit
# DFT formation energy	0.005	eV per atom
# E	-2.344	eV/atom
# N(E_F)	5.80	states/eV/cell

# ErMg4Tl5, relaxed, DFT PBE-GGA
data_ErMg4Tl5
_chemical_formula_sum 'Er1 Mg4 Tl5'
_cell_length_a 3.681
_cell_length_b 3.681
_cell_length_c 18.442
_cell_angle_alpha 90.00
_cell_angle_beta 90.00
_cell_angle_gamma 90.00
_space_group_name_H-M_alt 'P 1'
_space_group_IT_number 1
loop_
_space_group_symop_operation_xyz
'x,y,z'
loop_
_atom_site_label
_atom_site_fract_x
_atom_site_fract_y
_atom_site_fract_z
Er1 0.000 0.000 0.000
Mg1 0.000 0.000 0.600
Mg2 0.000 0.000 0.205
Mg3 0.000 0.000 0.400
Mg4 0.000 0.000 0.795
Tl1 0.500 0.500 0.697
Tl2 0.500 0.500 0.500
Tl3 0.500 0.500 0.107
Tl4 0.500 0.500 0.893
Tl5 0.500 0.500 0.303
# spin magnetization	0.0	μB per formula unit
# DFT formation energy	-0.085	eV per atom
# E	-2.363	eV/atom
# N(E_F)	4.63	states/eV/cell

# Er4Mg9Tl11, relaxed, DFT PBE-GGA
data_Er4Mg9Tl11
_chemical_formula_sum 'Er4 Mg9 Tl11'
_cell_length_a 3.551
_cell_length_b 13.454
_cell_length_c 13.454
_cell_angle_alpha 106.20
_cell_angle_beta 90.00
_cell_angle_gamma 90.00
_space_group_name_H-M_alt 'P 1'
_space_group_IT_number 1
loop_
_space_group_symop_operation_xyz
'x,y,z'
loop_
_atom_site_label
_atom_site_fract_x
_atom_site_fract_y
_atom_site_fract_z
Mg1 0.500 0.200 0.022
Mg2 0.500 0.155 0.628
Mg3 0.500 0.978 0.800
Mg4 0.500 0.372 0.845
Mg5 0.500 0.800 0.978
Mg6 0.500 0.628 0.155
Mg7 0.500 0.845 0.372
Mg8 0.500 0.500 0.500
Mg9 0.500 0.022 0.200
Er1 0.500 0.745 0.574
Er2 0.500 0.255 0.426
Er3 0.500 0.574 0.745
Er4 0.500 0.426 0.255
Tl1 0.000 0.053 0.406
Tl2 0.000 0.636 0.364
Tl3 0.000 0.000 0.000
Tl4 0.000 0.947 0.594
Tl5 0.000 0.406 0.053
Tl6 0.000 0.781 0.781
Tl7 0.000 0.219 0.219
Tl8 0.000 0.364 0.636
Tl9 0.000 0.176 0.824
Tl10 0.000 0.824 0.176
Tl11 0.000 0.594 0.947
# spin magnetization	0.0	μB per formula unit
# DFT formation energy	-0.058	eV per atom
# E	-2.501	eV/atom
# N(E_F)	13.98	states/eV/cell

Q: Look up the E of the fourth one.
A: -2.344 eV/atom

Q: Which value of DFT formation energy does entry 5 give?
A: -0.085 eV per atom